No. 1
# Tl2S meta-GGA SCAN single point on PBEsol structure
data_Tl2S
_space_group_name_H-M_alt 'R 3'
_space_group_IT_number 146
_space_group_name_Hall 'R 3'
_cell_length_a 12.0672
_cell_length_b 12.0672
_cell_length_c 17.7414
_cell_angle_alpha 90.00
_cell_angle_beta 90.00
_cell_angle_gamma 120.00
loop_
_atom_site_label
_atom_site_type_symbol
_atom_site_fract_x
_atom_site_fract_y
_atom_site_fract_z
_atom_site_occupancy
Tl1 Tl 0.0740 0.2011 0.0216 1
Tl2 Tl 0.0915 0.5322 0.0015 1
Tl3 Tl 0.0955 0.5251 0.3333 1
Tl4 Tl 0.1988 0.7751 0.8728 1
Tl5 Tl 0.2045 0.1244 0.5182 1
Tl6 Tl 0.2051 0.1285 0.8540 1
S1 S 0.0000 0.0000 0.1365 1
S2 S 0.0000 0.0000 0.4060 1
S3 S 0.0000 0.0000 0.7435 1
S4 S 0.9996 0.6763 0.0804 1
S5 S 0.0028 0.3442 0.1261 1
# Crystal system: trigonal
# Electronic total energy (eV for the cell shown): -4198.8
# Magnetic moment (μB/f.u.): 0.00
# Formation energy (no corrections) (kJ/mol of formula units): -112.6
# ρ (g/cm³): 8.83

=====

No. 2
# RbAuCl3 meta-GGA SCAN single point on PBEsol structure
data_RbAuCl3
_space_group_name_H-M_alt 'P m -3 m'
_space_group_IT_number 221
_space_group_name_Hall '-P 4 2 3'
_cell_length_a 5.038
_cell_length_b 5.038
_cell_length_c 5.038
_cell_angle_alpha 90.00
_cell_angle_beta 90.00
_cell_angle_gamma 90.00
loop_
_atom_site_label
_atom_site_type_symbol
_atom_site_fract_x
_atom_site_fract_y
_atom_site_fract_z
_atom_site_occupancy
Rb1 Rb 0.000 0.000 0.000 1
Au1 Au 0.500 0.500 0.500 1
Cl1 Cl 0.000 0.500 0.500 1
# Crystal system: cubic
# Electronic total energy (eV for the cell shown): -119.3
# DOS(E_F) (states/eV/atom): 0.1817
# Magnetic moment (μB/f.u.): 0.00
# Formation energy (no corrections) (kJ/mol of formula units): -528.4
# ρ (g/cm³): 5.05

=====

No. 3
# SrLi2Bi2 meta-GGA SCAN single point on PBEsol structure
data_SrLi2Bi2
_space_group_name_H-M_alt 'P 4/m b m'
_space_group_IT_number 127
_space_group_name_Hall '-P 4 2ab'
_cell_length_a 8.557
_cell_length_b 8.557
_cell_length_c 3.438
_cell_angle_alpha 90.00
_cell_angle_beta 90.00
_cell_angle_gamma 90.00
loop_
_atom_site_label
_atom_site_type_symbol
_atom_site_fract_x
_atom_site_fract_y
_atom_site_fract_z
_atom_site_occupancy
Sr1 Sr 0.000 0.000 0.000 1
Li1 Li 0.114 0.386 0.000 1
Bi1 Bi 0.178 0.678 0.500 1
# Energy above the most stable polymorph in this dataset (meV per atom): 44
# Energy of formation (eV per atom): -0.629
# Crystal system: tetragonal
# Electronic total energy (eV for the cell shown): -374.7
# DOS(E_F) (states/eV/atom): 0.2457
# Magnetic moment (μB/f.u.): 0.00
# ρ (g/cm³): 6.85